A relaxed structure of SrLa3Pt. Source: the Alexandria database, functional PBE-GGA.

The space group is I-4m2 (No. 119) and the conventional cell measures 6.3005, 6.3005 and 20.4448 Å, with angles of 90.00, 90.00 and 90.00 degrees. The distinct sites, in fractional coordinates, are Sr at (0.0000, 0.0000, 0.2061), La at (0.0000, 0.2561, 0.3768), La at (0.0000, 0.5000, 0.5328), Pt at (0.0000, 0.0000, 0.5000) and Pt at (0.0000, 0.5000, 0.2500).

The value obtained for the formation enthalpy at 0 K is -151 meV/atom. The energy above the most stable polymorph in this dataset comes out at 285 meV/atom. The calculation puts the total energy at -23.258 eV per formula unit. Its volume is 812 Å³ per cell.